Entry 1:
{"formula": "ReGe2SbN", "functional": "GGA-PBE", "state": "optimized geometry", "raw_formation_energy_kj_per_mol_atoms": 41, "n_ef_per_ev_cell": 4.3, "lattice": [[5.1051, 0.0000, 0.0000], [0.0000, 5.1051, 0.0000], [0.0000, 0.0000, 3.7671]], "species": ["Re", "Ge", "Ge", "N", "Sb"], "frac_coords": [[0.0000, 0.0000, 0.0000], [0.0000, 0.5000, 0.0000], [0.5000, 0.0000, 0.0000], [0.0000, 0.0000, 0.5000], [0.5000, 0.5000, 0.5000]]}


Entry 2:
{"formula": "Na6Pd", "functional": "GGA-PBE", "state": "optimized geometry", "n_ef_per_ev_cell": 3.8, "polymorph_energy_ev_per_atom": 0.000, "e_form_ev_per_atom": -0.02, "lattice": [[-2.2459, 0.0374, -5.9362], [-3.6885, -4.6226, 2.3045], [-7.1832, 7.1090, 2.7625]], "species": ["Na", "Na", "Na", "Na", "Na", "Na", "Na", "Na", "Na", "Na", "Na", "Na", "Pd", "Pd"], "frac_coords": [[0.8336, 0.8336, 0.0933], [0.4019, 0.0356, 0.2500], [0.8336, 0.8336, 0.4067], [0.1664, 0.1664, 0.5933], [0.3336, 0.6664, 0.0000], [0.3336, 0.6664, 0.5000], [0.9644, 0.5981, 0.7500], [0.6664, 0.3336, 0.5000], [0.5981, 0.9644, 0.7500], [0.1664, 0.1664, 0.9067], [0.6664, 0.3336, 0.0000], [0.0356, 0.4019, 0.2500], [0.5335, 0.5335, 0.2500], [0.4665, 0.4665, 0.7500]]}


Entry 3:
{"formula": "BeFe2Br", "functional": "GGA-PBE", "state": "optimized geometry", "raw_formation_energy_kj_per_mol_atoms": 65, "n_ef_per_ev_cell": 3.1, "polymorph_energy_ev_per_atom": 0.418, "lattice": [[-2.7194, 1.5651, 3.4601], [-4.4370, -1.0890, -0.9717], [4.1349, -2.0549, 0.7046]], "species": ["Fe", "Fe", "Br", "Be"], "frac_coords": [[0.9623, 0.9623, 0.0000], [0.5377, 0.5377, 0.0000], [0.2500, 0.7500, 0.5000], [0.7500, 0.2500, 0.5000]]}


Entry 4:
{"formula": "LiAc2UO6", "functional": "GGA-PBE", "state": "optimized geometry", "raw_formation_energy_kj_per_mol_atoms": -304, "lattice": [[5.9556, 0.0000, 0.0117], [0.0000, 6.1247, 0.0000], [0.0703, 0.0000, 8.4655]], "species": ["O", "O", "O", "O", "O", "O", "O", "O", "O", "O", "O", "O", "Li", "Li", "U", "U", "Ac", "Ac", "Ac", "Ac"], "frac_coords": [[0.7078, 0.3107, 0.9496], [0.3935, 0.9591, 0.7424], [0.8090, 0.7893, 0.9395], [0.3090, 0.7107, 0.4395], [0.2078, 0.1893, 0.4496], [0.8935, 0.5409, 0.2424], [0.6065, 0.0409, 0.2576], [0.6910, 0.2893, 0.5605], [0.7922, 0.8107, 0.5504], [0.1910, 0.2107, 0.0605], [0.1065, 0.4591, 0.7576], [0.2922, 0.6893, 0.0504], [0.5000, 0.0000, 0.0000], [0.0000, 0.5000, 0.5000], [0.0000, 0.5000, 0.0000], [0.5000, 0.0000, 0.5000], [0.0129, 0.9472, 0.2517], [0.5129, 0.5528, 0.7517], [0.4871, 0.4472, 0.2483], [0.9871, 0.0528, 0.7483]]}


Entry 5:
{"formula": "Cd2TeAu", "functional": "GGA-PBE", "state": "optimized geometry", "raw_formation_energy_kj_per_mol_atoms": 5, "n_ef_per_ev_cell": 1.6, "lattice": [[-4.0583, -0.6517, 3.7369], [2.7460, -4.3038, 2.1898], [1.4549, 1.9009, 1.9115]], "species": ["Cd", "Cd", "Te", "Au"], "frac_coords": [[0.5000, 0.5000, 0.0000], [0.0000, 0.0000, 0.0000], [0.5000, 0.0000, 0.5000], [0.0000, 0.5000, 0.5000]]}


Entry 6:
{"formula": "Ac8CuTe4Ir3", "functional": "GGA-PBE", "state": "optimized geometry", "raw_formation_energy_kj_per_mol_atoms": -99, "n_ef_per_ev_cell": 11.9, "lattice": [[-7.4089, -4.8031, -1.0160], [5.2208, -7.8965, -0.7409], [1.0759, 5.0309, 7.2457]], "species": ["Ac", "Ac", "Ac", "Ac", "Ac", "Ac", "Ac", "Ac", "Te", "Te", "Te", "Te", "Ir", "Ir", "Ir", "Cu"], "frac_coords": [[0.2423, 0.7107, 0.4846], [0.7261, 0.7108, 0.9685], [0.7576, 0.2892, 0.0315], [0.2424, 0.7108, 0.9685], [0.7577, 0.2893, 0.5154], [0.2739, 0.2892, 0.0315], [0.2636, 0.2907, 0.5271], [0.7364, 0.7093, 0.4729], [0.5000, 0.0000, 0.5000], [0.0000, 0.0000, 0.5000], [0.5000, 0.0000, 0.0000], [0.0000, 0.0000, 0.0000], [0.5000, 0.5000, 0.0000], [0.5000, 0.5000, 0.5000], [0.0000, 0.5000, 0.5000], [0.0000, 0.5000, 0.0000]]}


Entry 7:
{"formula": "AgHgMo", "functional": "GGA-PBE", "state": "optimized geometry", "n_ef_per_ev_cell": 1.5, "polymorph_energy_ev_per_atom": 0.000, "e_form_ev_per_atom": 0.49, "lattice": [[7.0766, 0.0258, -0.0260], [6.5059, 2.7886, 0.0304], [0.5707, 0.0704, 2.7624]], "species": ["Hg", "Ag", "Mo"], "frac_coords": [[0.6691, 0.6691, 0.3309], [0.9948, 0.9948, 0.0052], [0.3361, 0.3361, 0.6639]]}


Entry 8:
{"formula": "Np3Cr5Se12", "functional": "GGA-PBE", "state": "optimized geometry", "raw_formation_energy_kj_per_mol_atoms": -66, "n_ef_per_ev_cell": 125.3, "lattice": [[-1.0856, -13.3716, -1.7199], [5.7624, 5.4985, -10.9314], [7.6263, 2.5421, 10.8771]], "species": ["Se", "Se", "Se", "Se", "Se", "Se", "Se", "Se", "Se", "Se", "Se", "Se", "Se", "Se", "Se", "Se", "Se", "Se", "Se", "Se", "Se", "Se", "Se", "Se", "Se", "Se", "Se", "Se", "Se", "Se", "Se", "Se", "Se", "Se", "Se", "Se", "Se", "Se", "Se", "Se", "Se", "Se", "Se", "Se", "Se", "Se", "Se", "Se", "Cr", "Cr", "Cr", "Cr", "Cr", "Cr", "Cr", "Cr", "Cr", "Cr", "Cr", "Cr", "Cr", "Cr", "Cr", "Cr", "Cr", "Cr", "Cr", "Cr", "Np", "Np", "Np", "Np", "Np", "Np", "Np", "Np", "Np", "Np", "Np", "Np"], "frac_coords": [[0.5869, 0.9655, 0.6761], [0.1214, 0.4109, 0.0869], [0.8786, 0.2895, 0.4655], [0.6761, 0.4655, 0.5869], [0.5891, 0.7105, 0.6761], [0.6214, 0.0345, 0.2105], [0.5345, 0.3239, 0.9131], [0.2105, 0.5345, 0.6214], [0.3786, 0.4131, 0.0891], [0.7895, 0.4655, 0.3786], [0.4109, 0.2895, 0.3239], [0.0891, 0.9131, 0.3786], [0.6761, 0.2105, 0.5891], [0.5345, 0.2105, 0.1214], [0.7105, 0.1214, 0.0345], [0.9109, 0.0869, 0.6214], [0.1761, 0.0891, 0.7105], [0.9109, 0.8239, 0.7895], [0.5869, 0.6214, 0.4109], [0.9655, 0.5869, 0.1761], [0.9131, 0.8239, 0.5345], [0.3239, 0.7895, 0.4109], [0.7105, 0.5891, 0.1761], [0.4131, 0.3786, 0.5891], [0.0345, 0.6214, 0.7105], [0.2895, 0.8786, 0.9655], [0.8786, 0.5891, 0.9131], [0.1761, 0.0869, 0.9655], [0.0869, 0.9109, 0.1214], [0.4109, 0.1214, 0.5869], [0.8239, 0.9131, 0.0345], [0.9131, 0.0891, 0.8786], [0.1214, 0.7105, 0.5345], [0.2895, 0.4109, 0.8239], [0.9655, 0.3786, 0.2895], [0.3786, 0.9655, 0.7895], [0.4655, 0.7895, 0.8786], [0.0345, 0.4131, 0.8239], [0.4655, 0.6761, 0.0869], [0.5891, 0.8786, 0.4131], [0.2105, 0.6761, 0.0891], [0.0891, 0.1761, 0.2105], [0.8239, 0.9109, 0.2895], [0.0869, 0.1761, 0.4655], [0.4131, 0.0345, 0.3239], [0.7895, 0.3239, 0.9109], [0.3239, 0.5345, 0.4131], [0.6214, 0.5869, 0.9109], [0.0000, 0.0000, 0.5000], [0.8750, 0.6250, 0.7500], [0.5000, 0.5000, 0.0000], [0.3750, 0.2500, 0.1250], [0.2500, 0.8750, 0.1250], [0.2500, 0.3750, 0.6250], [0.1250, 0.3750, 0.2500], [0.6250, 0.8750, 0.2500], [0.6250, 0.7500, 0.8750], [0.0000, 0.0000, 0.0000], [0.1250, 0.7500, 0.3750], [0.7500, 0.6250, 0.3750], [0.3750, 0.1250, 0.7500], [0.5000, 0.0000, 0.5000], [0.7500, 0.1250, 0.8750], [0.5000, 0.0000, 0.0000], [0.0000, 0.5000, 0.0000], [0.0000, 0.5000, 0.5000], [0.5000, 0.5000, 0.5000], [0.8750, 0.2500, 0.6250], [0.3750, 0.6250, 0.2500], [0.2500, 0.6250, 0.8750], [0.1250, 0.8750, 0.7500], [0.6250, 0.3750, 0.7500], [0.7500, 0.8750, 0.6250], [0.8750, 0.1250, 0.2500], [0.2500, 0.1250, 0.3750], [0.3750, 0.7500, 0.6250], [0.8750, 0.7500, 0.1250], [0.7500, 0.3750, 0.1250], [0.1250, 0.2500, 0.8750], [0.6250, 0.2500, 0.3750]]}